First-principles (GGA+U) data for a relaxed Li2TiCr3O8 crystal, as listed in Alexandria.

Lattice parameters (Å, degrees): 5.9113 5.9113 9.4490 90.00 90.00 120.00
Last column: nearest neighbours and their distance in Å.
Fractional positions:
Li: 0.3333 0.6667 0.8935  4 O 1.98-1.99
Li: 0.0000 0.0000 0.9945  4 O 1.83-1.96
Li: 0.0000 0.0000 0.4945  4 O 1.83-1.96
Li: 0.6667 0.3333 0.3935  4 O 1.98-1.99
Ti: 0.3333 0.6667 0.4979  6 O 1.93-2.10
Ti: 0.6667 0.3333 0.9979  6 O 1.93-2.10
Cr: 0.1720 0.8280 0.2167  6 O 1.93-2.08
Cr: 0.1720 0.3441 0.2167  6 O 1.93-2.08
Cr: 0.6559 0.8280 0.2167  6 O 1.93-2.08
Cr: 0.3441 0.1720 0.7167  6 O 1.93-2.08
Cr: 0.8280 0.6559 0.7167  6 O 1.93-2.08
Cr: 0.8280 0.1720 0.7167  6 O 1.93-2.08
O: 0.1675 0.8325 0.5958  1 Ti 1.93, 1 Li 1.96, 2 Cr 2.08
O: 0.0407 0.5203 0.3420  2 Cr 1.97, 1 Li 1.98, 1 Ti 2.10
O: 0.3333 0.6667 0.1044  3 Cr 1.96, 1 Li 1.99
O: 0.0000 0.0000 0.3006  1 Li 1.83, 3 Cr 1.93
O: 0.0000 0.0000 0.8006  1 Li 1.83, 3 Cr 1.93
O: 0.1675 0.3350 0.5958  1 Ti 1.93, 1 Li 1.96, 2 Cr 2.08
O: 0.4797 0.9593 0.3420  2 Cr 1.97, 1 Li 1.98, 1 Ti 2.10
O: 0.4797 0.5203 0.3420  2 Cr 1.97, 1 Li 1.98, 1 Ti 2.10
O: 0.3350 0.1675 0.0958  1 Ti 1.93, 1 Li 1.96, 2 Cr 2.08
O: 0.6650 0.8325 0.5958  1 Ti 1.93, 1 Li 1.96, 2 Cr 2.08
O: 0.5203 0.4797 0.8420  2 Cr 1.97, 1 Li 1.98, 1 Ti 2.10
O: 0.5203 0.0407 0.8420  2 Cr 1.97, 1 Li 1.98, 1 Ti 2.10
O: 0.6667 0.3333 0.6044  3 Cr 1.96, 1 Li 1.99
O: 0.8325 0.6650 0.0958  1 Ti 1.93, 1 Li 1.96, 2 Cr 2.08
O: 0.9593 0.4797 0.8420  2 Cr 1.97, 1 Li 1.98, 1 Ti 2.10
O: 0.8325 0.1675 0.0958  1 Ti 1.93, 1 Li 1.96, 2 Cr 2.08

Properties
* size of the total moment: 0.571 μB per atom
* VASP energy: -104.1 eV per formula unit
* crystal system: hexagonal
* energy relative to the lowest polymorph listed for this composition: 33 kJ/mol of formula units